Compound: SmEuTlGa
Source: Alexandria via LeMat-Bulk
Functional: PBE
Structure: relaxed

Geometry as extended XYZ:
```
4
Lattice="-0.608 -1.097 -5.250 4.335 -0.417 -3.190 1.471 -4.818 -1.938" Properties=species:S:1:pos:R:3 pbc="T T T"
Eu 0.000 0.000 0.000
Tl 3.899 -4.749 -7.784
Ga 1.300 -1.583 -2.595
Sm 2.599 -3.166 -5.189
```

Results
ρ: 8.6 g/cm3
Energy of formation from the pure elements: -0.405 eV per atom
Final energy: -5.502 eV per atom
Volume: 111.23 Å³/f.u.
Total magnetization: 7.40 μB/cell



Compound: LiHo2Tl4
Source: Alexandria via LeMat-Bulk
Functional: PBE
Structure: relaxed

Geometry as extended XYZ:
```
7
Lattice="-0.020 -4.292 2.835 2.850 -2.370 -3.567 6.079 2.210 3.389" Properties=species:S:1:pos:R:3 pbc="T T T"
Li 1.415 -3.331 -0.366
Ho 0.000 0.000 0.000
Ho 4.455 -2.226 1.329
Tl 1.529 -1.586 2.276
Tl 5.965 0.466 0.748
Tl 4.530 -0.495 3.949
Tl 2.964 -0.625 -0.925
```

Results
ρ: 9.9 g/cm3
Energy of formation from the pure elements: -0.182 eV per atom
Final energy: -3.116 eV per atom
Volume: 193.24 Å³/f.u.
Total magnetization: 0.00 μB/cell



Compound: CsTaAsPt2
Source: Alexandria via LeMat-Bulk
Functional: PBE
Structure: relaxed

Geometry as extended XYZ:
```
5
Lattice="4.939 0.000 0.000 0.000 6.020 0.000 0.000 0.000 4.939" Properties=species:S:1:pos:R:3 pbc="T T T"
Cs 0.000 3.010 0.000
As 2.470 3.010 2.470
Pt 0.000 0.000 2.470
Pt 2.470 0.000 0.000
Ta 0.000 0.000 0.000
```

Results
ρ: 8.8 g/cm3
Energy of formation from the pure elements: 1.207 eV per atom
Final energy: -4.681 eV per atom
Volume: 146.86 Å³/f.u.
Total magnetization: 0.35 μB/cell



Compound: Ce6Os2RuI3
Source: Alexandria via LeMat-Bulk
Functional: PBE
Structure: relaxed

Geometry as extended XYZ:
```
12
Lattice="-0.848 -3.885 5.915 -2.754 -2.260 -6.173 7.962 -1.849 -1.503" Properties=species:S:1:pos:R:3 pbc="T T T"
Ce 4.035 -6.523 0.589
Ce -1.157 -4.813 -0.465
Ce 0.325 -1.470 -2.351
Ce 3.399 -5.981 -3.442
Ce 5.517 -3.180 -1.297
Ce 0.961 -2.012 1.680
Os -2.118 -2.802 -2.144
Os -1.483 -3.343 1.885
Ru 0.000 0.000 0.000
I 1.545 -3.455 -4.908
I 2.815 -4.538 3.147
I 2.180 -3.997 -0.881
```

Results
Formation energy from raw total energies: -633 meV per atom
ρ: 8.1 g/cm3
Final energy: -6.633 eV per atom
Volume: 350.35 Å³/f.u.
Total magnetization: 3.45 μB/cell



Compound: Pa4Al12Pt
Source: Alexandria via LeMat-Bulk
Functional: PBE
Structure: relaxed

Geometry as extended XYZ:
```
17
Lattice="7.077 0.000 -2.502 -3.538 6.129 -2.502 0.000 0.000 7.506" Properties=species:S:1:pos:R:3 pbc="T T T"
Pa 0.000 0.000 3.753
Pa 3.538 0.000 -1.251
Pa 1.769 3.064 1.251
Pa -1.769 3.064 -1.251
Al -1.048 1.816 1.482
Al -2.490 4.313 3.522
Al 2.490 4.313 -3.522
Al 1.048 1.816 -1.482
Al 2.096 0.000 1.482
Al 4.980 0.000 3.522
Al 2.654 1.532 3.753
Al 0.885 4.597 -1.251
Al 4.423 1.532 1.251
Al -0.885 4.597 1.251
Al 3.538 3.064 -1.251
Al 0.000 3.064 3.753
Pt 0.000 0.000 0.000
```

Results
ρ: 7.4 g/cm3
Energy of formation from the pure elements: -0.398 eV per atom
Final energy: -5.630 eV per atom
Volume: 325.56 Å³/f.u.
Total magnetization: 0.00 μB/cell



Compound: Fe2WBr
Source: Alexandria via LeMat-Bulk
Functional: PBE
Structure: relaxed

Geometry as extended XYZ:
```
4
Lattice="-0.261 -5.590 -1.939 3.466 1.140 3.162 -0.947 -2.049 1.775" Properties=species:S:1:pos:R:3 pbc="T T T"
Br 1.603 -2.225 0.612
Fe 0.000 0.000 0.000
Fe -0.604 -3.820 -0.082
W 1.259 -0.454 2.469
```

Results
Formation energy from raw total energies: 915 meV per atom
ρ: 10.3 g/cm3
Final energy: -6.973 eV per atom
Volume: 60.61 Å³/f.u.
Total magnetization: 5.20 μB/cell
Energy relative to the lowest polymorph listed for this composition: 0.4447 eV per atom



Repeat the third record exactly.
Compound: CsTaAsPt2
Source: Alexandria via LeMat-Bulk
Functional: PBE
Structure: relaxed

Geometry as extended XYZ:
```
5
Lattice="4.939 0.000 0.000 0.000 6.020 0.000 0.000 0.000 4.939" Properties=species:S:1:pos:R:3 pbc="T T T"
Cs 0.000 3.010 0.000
As 2.470 3.010 2.470
Pt 0.000 0.000 2.470
Pt 2.470 0.000 0.000
Ta 0.000 0.000 0.000
```

Results
ρ: 8.8 g/cm3
Energy of formation from the pure elements: 1.207 eV per atom
Final energy: -4.681 eV per atom
Volume: 146.86 Å³/f.u.
Total magnetization: 0.35 μB/cell